Record 1
! Ni5W4N | Alexandria via LeMat-Bulk | GGA-PBE | optimized geometry; values from VASP
! * calculated volume: 126.9 Å³/cell
! * energy relative to the elements, uncorrected: 11 kJ per mole of atoms
&SYSTEM
  ibrav = 0, nat = 10, ntyp = 3
/
ATOMIC_SPECIES
Ni 58.69 Ni.upf
W 183.84 W.upf
N 14.01 N.upf
CELL_PARAMETERS angstrom
-1.347 4.119 5.722
1.347 -4.119 5.722
1.347 4.119 -5.722
ATOMIC_POSITIONS crystal
Ni 0.000 0.000 0.000
Ni 0.023 0.185 0.839
Ni 0.346 0.185 0.161
Ni 0.654 0.815 0.839
Ni 0.977 0.815 0.161
W 0.261 0.500 0.761
W 0.341 0.841 0.500
W 0.659 0.159 0.500
W 0.739 0.500 0.239
N 0.500 0.500 0.000

***

Record 2
! NiWN2 | Alexandria via LeMat-Bulk | GGA-PBE | optimized geometry; values from VASP
! * calculated volume: 186.8 Å³/cell
! * energy relative to the elements, uncorrected: -6 kJ per mole of atoms
&SYSTEM
  ibrav = 0, nat = 16, ntyp = 3
/
ATOMIC_SPECIES
Ni 58.69 Ni.upf
W 183.84 W.upf
N 14.01 N.upf
CELL_PARAMETERS angstrom
4.500 0.000 0.000
0.000 4.500 0.000
0.000 0.000 9.228
ATOMIC_POSITIONS crystal
Ni 0.000 0.000 0.000
Ni 0.000 0.500 0.250
Ni 0.500 0.000 0.750
Ni 0.500 0.500 0.500
W 0.000 0.000 0.500
W 0.000 0.500 0.750
W 0.500 0.000 0.250
W 0.500 0.500 0.000
N 0.241 0.250 0.625
N 0.250 0.741 0.875
N 0.250 0.759 0.375
N 0.259 0.250 0.125
N 0.741 0.750 0.125
N 0.750 0.241 0.375
N 0.750 0.259 0.875
N 0.759 0.750 0.625

***

Record 3
! Ni2WN | Alexandria via LeMat-Bulk | GGA-PBE | optimized geometry; values from VASP
! * calculated volume: 178.5 Å³/cell
! * energy relative to the elements, uncorrected: 28 kJ per mole of atoms
&SYSTEM
  ibrav = 0, nat = 16, ntyp = 3
/
ATOMIC_SPECIES
Ni 58.69 Ni.upf
W 183.84 W.upf
N 14.01 N.upf
CELL_PARAMETERS angstrom
6.495 0.000 0.000
0.000 6.495 0.000
0.000 0.000 4.232
ATOMIC_POSITIONS crystal
Ni 0.158 0.250 0.125
Ni 0.250 0.658 0.375
Ni 0.250 0.842 0.875
Ni 0.342 0.250 0.625
Ni 0.658 0.750 0.625
Ni 0.750 0.158 0.875
Ni 0.750 0.342 0.375
Ni 0.842 0.750 0.125
W 0.000 0.000 0.500
W 0.000 0.500 0.750
W 0.500 0.000 0.250
W 0.500 0.500 0.000
N 0.000 0.000 0.000
N 0.000 0.500 0.250
N 0.500 0.000 0.750
N 0.500 0.500 0.500

***

Record 4
! NiW2N | Alexandria via LeMat-Bulk | GGA-PBE | optimized geometry; values from VASP
! * calculated volume: 157.4 Å³/cell
! * energy relative to the elements, uncorrected: 51 kJ per mole of atoms
&SYSTEM
  ibrav = 0, nat = 12, ntyp = 3
/
ATOMIC_SPECIES
Ni 58.69 Ni.upf
W 183.84 W.upf
N 14.01 N.upf
CELL_PARAMETERS angstrom
2.767 0.000 0.000
-1.384 2.397 0.000
0.000 0.000 23.735
ATOMIC_POSITIONS crystal
Ni 0.000 0.000 0.000
Ni 0.333 0.667 0.667
Ni 0.667 0.333 0.333
W 0.000 0.000 0.104
W 0.000 0.000 0.896
W 0.333 0.667 0.562
W 0.333 0.667 0.771
W 0.667 0.333 0.229
W 0.667 0.333 0.438
N 0.000 0.000 0.500
N 0.333 0.667 0.167
N 0.667 0.333 0.833

***

Record 5
! NiWN2 | Alexandria via LeMat-Bulk | GGA-PBE | optimized geometry; values from VASP
! * calculated volume: 144.1 Å³/cell
! * energy relative to the elements, uncorrected: 60 kJ per mole of atoms
&SYSTEM
  ibrav = 0, nat = 16, ntyp = 3
/
ATOMIC_SPECIES
Ni 58.69 Ni.upf
W 183.84 W.upf
N 14.01 N.upf
CELL_PARAMETERS angstrom
5.243 0.000 0.000
0.000 5.243 0.000
0.000 0.000 5.243
ATOMIC_POSITIONS crystal
Ni 0.000 0.000 0.000
Ni 0.000 0.500 0.500
Ni 0.500 0.000 0.500
Ni 0.500 0.500 0.000
W 0.000 0.000 0.500
W 0.000 0.500 0.000
W 0.500 0.000 0.000
W 0.500 0.500 0.500
N 0.250 0.250 0.250
N 0.250 0.250 0.750
N 0.250 0.750 0.250
N 0.250 0.750 0.750
N 0.750 0.250 0.250
N 0.750 0.250 0.750
N 0.750 0.750 0.250
N 0.750 0.750 0.750

***

Record 6
! NiW3N | Alexandria via LeMat-Bulk | GGA-PBE | optimized geometry; values from VASP
! * calculated volume: 87.5 Å³/cell
! * energy relative to the elements, uncorrected: 256 kJ per mole of atoms
&SYSTEM
  ibrav = 0, nat = 5, ntyp = 3
/
ATOMIC_SPECIES
Ni 58.69 Ni.upf
W 183.84 W.upf
N 14.01 N.upf
CELL_PARAMETERS angstrom
4.440 0.000 0.000
0.000 4.440 0.000
0.000 0.000 4.440
ATOMIC_POSITIONS crystal
Ni 0.000 0.000 0.000
W 0.000 0.000 0.500
W 0.000 0.500 0.000
W 0.500 0.000 0.000
N 0.500 0.500 0.500

***

Record 7
! ZnNi2WN | Alexandria via LeMat-Bulk | GGA-PBE | optimized geometry; values from VASP
! * calculated volume: 59.1 Å³/cell
! * energy relative to the elements, uncorrected: -3 kJ per mole of atoms
&SYSTEM
  ibrav = 0, nat = 5, ntyp = 4
/
ATOMIC_SPECIES
Zn 65.41 Zn.upf
Ni 58.69 Ni.upf
W 183.84 W.upf
N 14.01 N.upf
CELL_PARAMETERS angstrom
3.825 0.000 0.000
0.000 3.825 0.000
0.000 0.000 4.041
ATOMIC_POSITIONS crystal
Zn 0.000 0.000 0.000
Ni 0.000 0.500 0.500
Ni 0.500 0.000 0.500
W 0.500 0.500 0.000
N 0.500 0.500 0.500

***

Record 8
! Y6Ni2N | Alexandria via LeMat-Bulk | GGA-PBE | optimized geometry; values from VASP
! * calculated volume: 417.1 Å³/cell
! * energy relative to the elements, uncorrected: -54 kJ per mole of atoms
&SYSTEM
  ibrav = 0, nat = 18, ntyp = 3
/
ATOMIC_SPECIES
Y 88.91 Y.upf
Ni 58.69 Ni.upf
N 14.01 N.upf
CELL_PARAMETERS angstrom
6.369 0.000 0.000
0.000 6.869 0.000
-6.188 0.000 9.533
ATOMIC_POSITIONS crystal
Y 0.116 0.038 0.240
Y 0.116 0.462 0.740
Y 0.239 0.693 0.063
Y 0.239 0.807 0.563
Y 0.371 0.179 0.061
Y 0.371 0.321 0.561
Y 0.629 0.679 0.439
Y 0.629 0.821 0.939
Y 0.761 0.193 0.437
Y 0.761 0.307 0.937
Y 0.884 0.538 0.260
Y 0.884 0.962 0.760
Ni 0.296 0.093 0.754
Ni 0.296 0.407 0.254
Ni 0.704 0.593 0.746
Ni 0.704 0.907 0.246
N 0.000 0.000 0.000
N 0.000 0.500 0.500

***

Record 9
! YNiN3 | Alexandria via LeMat-Bulk | GGA-PBE | optimized geometry; values from VASP
! * calculated volume: 52.4 Å³/cell
! * energy relative to the elements, uncorrected: 30 kJ per mole of atoms
&SYSTEM
  ibrav = 0, nat = 5, ntyp = 3
/
ATOMIC_SPECIES
Y 88.91 Y.upf
Ni 58.69 Ni.upf
N 14.01 N.upf
CELL_PARAMETERS angstrom
3.742 0.000 0.000
0.000 3.742 0.000
0.000 0.000 3.742
ATOMIC_POSITIONS crystal
Y 0.000 0.000 0.000
Ni 0.500 0.500 0.500
N 0.000 0.500 0.500
N 0.500 0.000 0.500
N 0.500 0.500 0.000

***

Record 10
! YNi2N | Alexandria via LeMat-Bulk | GGA-PBE | optimized geometry; values from VASP
! * calculated volume: 242.1 Å³/cell
! * energy relative to the elements, uncorrected: -18 kJ per mole of atoms
&SYSTEM
  ibrav = 0, nat = 16, ntyp = 3
/
ATOMIC_SPECIES
Y 88.91 Y.upf
Ni 58.69 Ni.upf
N 14.01 N.upf
CELL_PARAMETERS angstrom
4.467 0.000 0.000
0.000 4.467 0.000
0.000 0.000 12.132
ATOMIC_POSITIONS crystal
Y 0.000 0.250 0.375
Y 0.000 0.750 0.625
Y 0.500 0.250 0.125
Y 0.500 0.750 0.875
Ni 0.000 0.000 0.000
Ni 0.000 0.500 0.000
Ni 0.250 0.250 0.750
Ni 0.250 0.750 0.250
Ni 0.500 0.000 0.500
Ni 0.500 0.500 0.500
Ni 0.750 0.250 0.750
Ni 0.750 0.750 0.250
N 0.000 0.250 0.875
N 0.000 0.750 0.125
N 0.500 0.250 0.625
N 0.500 0.750 0.375

***

Record 11
! YNi2N | Alexandria via LeMat-Bulk | GGA-PBE | optimized geometry; values from VASP
! * calculated volume: 209.7 Å³/cell
! * energy relative to the elements, uncorrected: 68 kJ per mole of atoms
&SYSTEM
  ibrav = 0, nat = 16, ntyp = 3
/
ATOMIC_SPECIES
Y 88.91 Y.upf
Ni 58.69 Ni.upf
N 14.01 N.upf
CELL_PARAMETERS angstrom
5.941 0.000 0.000
0.000 5.941 0.000
0.000 0.000 5.941
ATOMIC_POSITIONS crystal
Y 0.000 0.000 0.000
Y 0.000 0.500 0.500
Y 0.500 0.000 0.500
Y 0.500 0.500 0.000
Ni 0.250 0.250 0.250
Ni 0.250 0.250 0.750
Ni 0.250 0.750 0.250
Ni 0.250 0.750 0.750
Ni 0.750 0.250 0.250
Ni 0.750 0.250 0.750
Ni 0.750 0.750 0.250
Ni 0.750 0.750 0.750
N 0.000 0.000 0.500
N 0.000 0.500 0.000
N 0.500 0.000 0.000
N 0.500 0.500 0.500

***

Magnetic moment (computed, μB/cell): 0.00 0.00 0.00 0.06 0.00 0.00 0.00 0.00 0.00 0.00 0.00
Density of states at the Fermi level (computed, states/eV per cell): 8.184 5.428 14.559 13.454 4.924 4.634 5.438 19.307 2.627 9.407 2.298